# 1
Computed, not measured: an optimized crystal structure of Sb2OsW at the PBE level of DFT.

```
Sb2OsW
1.0
4.357 -1.546 0.000
4.357 1.546 0.000
-1.140 0.000 5.474
Sb Os W
2 1 1
direct
0.247 0.247 0.247
0.753 0.753 0.753
0.500 0.500 0.000
0.000 0.000 0.500
```


# 2
Computed, not measured: an optimized crystal structure of Mg2ZrBr at the PBE level of DFT.

```
Mg2ZrBr
1.0
-2.202 2.202 4.652
2.202 -2.202 4.652
2.202 2.202 -4.652
Mg Zr Br
2 1 1
direct
0.000 0.000 0.000
0.750 0.250 0.500
0.250 0.750 0.500
0.500 0.500 0.000
```


| no. | raw total energy (eV/atom) | mass density (g/cm3) |
| --- | --- | --- |
| 1 | -7.4252 | 13.90 |
| 2 | -3.2795 | 4.04 |